Here is a geometry-optimized CaSnHg structure from Alexandria. Energies are from PBE.

The structure in POSCAR format:
```
CaSnHg
1.0
-2.6881 -1.7121 1.0387
1.8559 -2.7831 0.2154
2.3374 4.1572 7.4930
Ca Hg Sn
1 1 1
direct
0.9472 0.9472 0.8944
0.7699 0.7699 0.5398
0.1329 0.1329 0.2658
```

Computed properties:
- ΔH_f (0 K) (meV per atom) = 147
- size of the total moment (μB/f.u.) = 0.37



Here is a geometry-optimized Ca4Sn2Hg structure from Alexandria. Energies are from PBE.

The structure in POSCAR format:
```
Ca4Sn2Hg
1.0
5.1505 0.0000 1.6091
2.3239 4.5965 1.6091
-0.0847 -0.0521 9.3184
Ca Sn Hg
4 2 1
direct
0.8751 0.8751 0.3746
0.1249 0.1249 0.6254
0.6247 0.6247 0.1260
0.3753 0.3753 0.8740
0.7517 0.7517 0.7448
0.2483 0.2483 0.2552
0.0000 0.0000 0.0000
```

Computed properties:
- ΔH_f (0 K) (meV per atom) = -642
- size of the total moment (μB/f.u.) = 0.00



Here is a geometry-optimized CaSnHg6 structure from Alexandria. Energies are from PBE.

The structure in POSCAR format:
```
CaSnHg6
1.0
4.8341 -0.0660 1.3263
2.0584 5.4963 1.7016
0.3689 0.9337 8.0884
Ca Sn Hg
1 1 6
direct
0.0000 0.5000 0.5000
0.0000 0.0000 0.0000
0.2647 0.8478 0.6230
0.5060 0.2289 0.7612
0.2423 0.3859 0.1261
0.4940 0.7711 0.2388
0.7353 0.1522 0.3770
0.7577 0.6141 0.8739
```

Computed properties:
- ΔH_f (0 K) (meV per atom) = -167
- size of the total moment (μB/f.u.) = 0.00



Here is a geometry-optimized Ca2SnHg2 structure from Alexandria. Energies are from PBE.

The structure in POSCAR format:
```
Ca2SnHg2
1.0
5.9655 0.0000 0.0000
0.0000 5.9655 0.0000
2.9827 2.9827 4.4180
Ca Hg Sn
2 2 1
direct
0.7500 0.2500 0.5000
0.2500 0.7500 0.5000
0.3444 0.3444 0.3113
0.6556 0.6556 0.6887
0.0000 0.0000 0.0000
```

Computed properties:
- ΔH_f (0 K) (meV per atom) = -273
- size of the total moment (μB/f.u.) = 0.00



Here is a geometry-optimized Ca2SnHg4 structure from Alexandria. Energies are from PBE.

The structure in POSCAR format:
```
Ca2SnHg4
1.0
-5.2218 1.0441 -0.6996
-2.6903 -2.3340 -4.0202
-4.3985 -6.2029 2.9569
Ca Sn Hg
2 1 4
direct
0.7190 0.7190 0.8429
0.2810 0.2810 0.1571
0.0000 0.0000 0.0000
0.8610 0.8610 0.4169
0.1390 0.1390 0.5831
0.5716 0.5716 0.2852
0.4284 0.4284 0.7148
```

Computed properties:
- ΔH_f (0 K) (meV per atom) = -395
- size of the total moment (μB/f.u.) = 0.00



Here is a geometry-optimized Ca4SnHg3 structure from Alexandria. Energies are from PBE.

The structure in POSCAR format:
```
Ca4SnHg3
1.0
3.7485 0.0000 0.0000
0.0000 3.7485 0.0000
0.0000 0.0000 15.6700
Ca Sn Hg
4 1 3
direct
0.0000 0.0000 0.8692
0.0000 0.0000 0.1308
0.0000 0.0000 0.3763
0.0000 0.0000 0.6237
0.5000 0.5000 0.0000
0.5000 0.5000 0.2539
0.5000 0.5000 0.5000
0.5000 0.5000 0.7461
```

Computed properties:
- ΔH_f (0 K) (meV per atom) = -577
- size of the total moment (μB/f.u.) = 0.00



Here is a geometry-optimized CaSnHg structure from Alexandria. Energies are from PBE.

The structure in POSCAR format:
```
CaSnHg
1.0
-4.6697 -0.2138 1.8038
2.9546 -4.0412 0.2109
1.2306 1.0727 3.3130
Ca Hg Sn
1 1 1
direct
0.0000 0.0000 0.0000
0.3333 0.6667 0.5000
0.6667 0.3333 0.5000
```

Computed properties:
- ΔH_f (0 K) (meV per atom) = -441
- size of the total moment (μB/f.u.) = 0.00



Here is a geometry-optimized Ca2SnHg3 structure from Alexandria. Energies are from PBE.

The structure in POSCAR format:
```
Ca2SnHg3
1.0
6.0497 0.1190 -1.4078
-2.2677 5.6098 -1.4078
-0.0950 -0.1439 9.3556
Ca Sn Hg
4 2 6
direct
0.2500 0.7500 0.5000
0.7554 0.7554 0.0000
0.7500 0.2500 0.5000
0.2446 0.2446 0.0000
0.3349 0.3349 0.6698
0.6651 0.6651 0.3302
0.6668 0.1669 0.8337
0.8331 0.3332 0.1663
0.3332 0.8331 0.1663
0.1669 0.6668 0.8337
0.8336 0.8336 0.6672
0.1664 0.1664 0.3328
```

Computed properties:
- ΔH_f (0 K) (meV per atom) = -474
- size of the total moment (μB/f.u.) = 0.00



Here is a geometry-optimized Ca3SnHg3 structure from Alexandria. Energies are from PBE.

The structure in POSCAR format:
```
Ca3SnHg3
1.0
5.2359 0.0000 0.0000
0.0000 9.2851 0.0000
0.0000 -4.6425 8.0411
Ca Sn Hg
6 2 6
direct
0.7500 0.6541 0.5601
0.7500 0.4399 0.0940
0.7500 0.9060 0.3459
0.2500 0.3459 0.4399
0.2500 0.5601 0.9060
0.2500 0.0940 0.6541
0.2500 0.6667 0.3333
0.7500 0.3333 0.6667
0.2500 0.8084 0.7720
0.2500 0.2280 0.0364
0.2500 0.9636 0.1916
0.7500 0.1916 0.2280
0.7500 0.7720 0.9636
0.7500 0.0364 0.8084
```

Computed properties:
- ΔH_f (0 K) (meV per atom) = -462
- size of the total moment (μB/f.u.) = 0.00



Here is a geometry-optimized CaSn2Hg4 structure from Alexandria. Energies are from PBE.

The structure in POSCAR format:
```
CaSn2Hg4
1.0
8.8508 0.0000 0.0000
4.4254 4.6778 0.0000
4.4254 0.0000 4.6778
Ca Sn Hg
1 2 4
direct
0.0000 0.0000 0.0000
0.0000 0.5000 0.5000
0.5000 0.5000 0.5000
0.4999 0.5000 0.0001
0.9999 0.0001 0.5000
0.5001 0.9999 0.5000
0.0001 0.5000 0.9999
```

Computed properties:
- ΔH_f (0 K) (meV per atom) = -133
- size of the total moment (μB/f.u.) = 0.00



Here is a geometry-optimized Ca2Sn3Hg structure from Alexandria. Energies are from PBE.

The structure in POSCAR format:
```
Ca2Sn3Hg
1.0
-3.3488 -0.8752 -0.0390
0.9871 -3.6139 -3.6524
1.5276 -6.1337 6.4819
Ca Sn Hg
2 3 1
direct
0.0000 0.5000 0.0033
0.0000 0.0000 0.4988
0.5000 0.0000 0.8331
0.5000 0.0000 0.1681
0.5000 0.5000 0.6639
0.5000 0.5000 0.3328
```

Computed properties:
- ΔH_f (0 K) (meV per atom) = -403
- size of the total moment (μB/f.u.) = 0.00



Here is a geometry-optimized CaSnHg structure from Alexandria. Energies are from PBE.

The structure in POSCAR format:
```
CaSnHg
1.0
7.7954 0.0000 -0.0001
0.0000 4.8923 -0.0016
-0.0001 -2.4441 4.2390
Ca Hg Sn
2 2 2
direct
0.8746 0.3738 0.7684
0.3746 0.3738 0.7692
0.6874 0.0405 0.1019
0.1874 0.7071 0.4356
0.0874 0.0405 0.1022
0.5874 0.7072 0.4355
```

Computed properties:
- ΔH_f (0 K) (meV per atom) = -521
- size of the total moment (μB/f.u.) = 0.00



Here is a geometry-optimized Ca3Sn2Hg structure from Alexandria. Energies are from PBE.

The structure in POSCAR format:
```
Ca3Sn2Hg
1.0
3.6524 0.0000 0.0000
0.0000 3.6524 0.0000
0.0000 0.0000 12.5792
Ca Sn Hg
3 2 1
direct
0.0000 0.0000 0.0000
0.0000 0.0000 0.6569
0.0000 0.0000 0.3431
0.5000 0.5000 0.8253
0.5000 0.5000 0.1747
0.5000 0.5000 0.5000
```

Computed properties:
- ΔH_f (0 K) (meV per atom) = -609
- size of the total moment (μB/f.u.) = 0.00



Here is a geometry-optimized Ca6Sn5Hg structure from Alexandria. Energies are from PBE.

The structure in POSCAR format:
```
Ca6Sn5Hg
1.0
1.2053 -2.1383 4.3441
-3.1580 -7.8280 -2.9774
7.4033 -2.7755 -0.5547
Ca Sn Hg
6 5 1
direct
0.8326 0.7470 0.3347
0.8327 0.2530 0.3347
0.5000 0.2490 0.0000
0.5000 0.7510 0.0000
0.1673 0.7470 0.6653
0.1674 0.2530 0.6653
0.6667 0.5000 0.6666
0.3312 0.0000 0.3376
0.0000 0.5000 0.0000
0.6688 0.0000 0.6624
0.3333 0.5000 0.3334
0.0000 0.0000 0.0000
```

Computed properties:
- ΔH_f (0 K) (meV per atom) = -595
- size of the total moment (μB/f.u.) = 0.00



Here is a geometry-optimized CaSn4Hg structure from Alexandria. Energies are from PBE.

The structure in POSCAR format:
```
CaSn4Hg
1.0
6.2426 0.0000 0.0000
3.1213 5.4063 0.0000
3.1213 1.8021 5.0971
Ca Hg Sn
1 1 4
direct
0.2500 0.2500 0.2500
0.0000 0.0000 0.0000
0.6252 0.6252 0.1243
0.6252 0.1243 0.6252
0.6252 0.6252 0.6252
0.1243 0.6252 0.6252
```

Computed properties:
- ΔH_f (0 K) (meV per atom) = -146
- size of the total moment (μB/f.u.) = 0.00



Here is a geometry-optimized Ca2SnHg4 structure from Alexandria. Energies are from PBE.

The structure in POSCAR format:
```
Ca2SnHg4
1.0
-3.9904 -0.1492 -3.9050
0.7828 -5.4985 -0.5898
-3.8414 1.4461 7.8642
Ca Sn Hg
2 1 4
direct
0.6165 0.6165 0.2329
0.3835 0.3835 0.7671
0.0000 0.0000 0.0000
0.8090 0.8090 0.6180
0.1910 0.1910 0.3820
0.0000 0.5000 0.0000
0.5000 0.0000 0.0000
```

Computed properties:
- ΔH_f (0 K) (meV per atom) = -85
- size of the total moment (μB/f.u.) = 0.00



Here is a geometry-optimized CaSnHg structure from Alexandria. Energies are from PBE.

The structure in POSCAR format:
```
CaSnHg
1.0
6.9461 0.0620 0.0683
-1.5254 4.2836 0.0049
-4.0359 0.9676 5.5707
Ca Hg Sn
2 2 2
direct
0.6476 0.4459 0.1594
0.2855 0.0835 0.5213
0.8280 0.1264 0.9785
0.1049 0.4029 0.7021
0.2194 0.7648 0.0933
0.7135 0.7648 0.5873
```

Computed properties:
- ΔH_f (0 K) (meV per atom) = -432
- size of the total moment (μB/f.u.) = 0.00



Here is a geometry-optimized SrCa2Sn2Hg2 structure from Alexandria. Energies are from PBE.

The structure in POSCAR format:
```
SrCa2Sn2Hg2
1.0
5.0735 0.0000 0.0000
2.5367 4.3937 0.0000
2.5367 1.4646 9.3754
Sr Ca Sn Hg
1 2 2 2
direct
0.0000 0.0000 0.0000
0.1360 0.1360 0.5919
0.8640 0.8640 0.4081
0.7410 0.7410 0.7771
0.2590 0.2590 0.2229
0.5596 0.5596 0.3211
0.4404 0.4404 0.6789
```

Computed properties:
- ΔH_f (0 K) (meV per atom) = -490
- size of the total moment (μB/f.u.) = 0.00



Here is a geometry-optimized SrCaSnHg structure from Alexandria. Energies are from PBE.

The structure in POSCAR format:
```
SrCaSnHg
1.0
5.5811 0.0000 0.0000
2.7905 4.8333 0.0000
2.7905 1.6111 4.5569
Sr Ca Hg Sn
1 1 1 1
direct
0.5000 0.5000 0.5000
0.0000 0.0000 0.0000
0.7500 0.7500 0.7500
0.2500 0.2500 0.2500
```

Computed properties:
- ΔH_f (0 K) (meV per atom) = -649
- size of the total moment (μB/f.u.) = 0.00



Here is a geometry-optimized CaTbSnHg structure from Alexandria. Energies are from PBE.

The structure in POSCAR format:
```
CaTbSnHg
1.0
3.7654 0.0000 0.0000
0.0000 3.7654 0.0000
0.0000 0.0000 7.6677
Ca Tb Sn Hg
1 1 1 1
direct
0.0000 0.0000 0.3521
0.0000 0.0000 0.8628
0.5000 0.5000 0.6130
0.5000 0.5000 0.1001
```

Computed properties:
- ΔH_f (0 K) (meV per atom) = -578
- size of the total moment (μB/f.u.) = 0.00